This record from Alexandria describes a geometry-optimized NaMgScTl structure. The functional is PBE-GGA.

Calculated values
ΔE_f = -2 kJ/mol of atoms
Space group = No. 216
DFT total energy = -2.922 eV per atom

Cell lengths 7.283, 7.283, 7.283 Å; angles 90.00, 90.00, 90.00 degrees
Positions (direct):
Na: 0.000 0.000 0.000
Na: 0.000 0.500 0.500
Na: 0.500 0.000 0.500
Na: 0.500 0.500 0.000
Mg: 0.250 0.250 0.750
Mg: 0.250 0.750 0.250
Mg: 0.750 0.250 0.250
Mg: 0.750 0.750 0.750
Sc: 0.000 0.000 0.500
Sc: 0.000 0.500 0.000
Sc: 0.500 0.000 0.000
Sc: 0.500 0.500 0.500
Tl: 0.250 0.250 0.250
Tl: 0.250 0.750 0.750
Tl: 0.750 0.250 0.750
Tl: 0.750 0.750 0.250

=====

This record from Alexandria describes a geometry-optimized Na3MgSe structure. The functional is PBE-GGA.

Calculated values
Formation energy from raw total energies = -357 meV per atom
Space group = No. 221
DFT total energy = -2.164 eV per atom

Cell lengths 5.604, 5.604, 5.604 Å; angles 90.00, 90.00, 90.00 degrees
Positions (direct):
Na: 0.000 0.000 0.500
Na: 0.000 0.500 0.000
Na: 0.500 0.000 0.000
Mg: 0.500 0.500 0.500
Se: 0.000 0.000 0.000

=====

This record from Alexandria describes a geometry-optimized Na2MgSe2 structure. The functional is PBE-GGA.

Calculated values
Formation energy from raw total energies = -909 meV per atom
Space group = No. 127
DFT total energy = -3.150 eV per atom

Cell lengths 7.485, 7.485, 4.241 Å; angles 90.00, 90.00, 90.00 degrees
Positions (direct):
Na: 0.133 0.367 0.000
Na: 0.367 0.867 0.000
Na: 0.633 0.133 0.000
Na: 0.867 0.633 0.000
Mg: 0.000 0.000 0.500
Mg: 0.500 0.500 0.500
Se: 0.181 0.681 0.500
Se: 0.319 0.181 0.500
Se: 0.681 0.819 0.500
Se: 0.819 0.319 0.500

=====

This record from Alexandria describes a geometry-optimized NaMgSe3 structure. The functional is PBE-GGA.

Calculated values
Formation energy from raw total energies = 334 meV per atom
Space group = No. 221
DFT total energy = -2.339 eV per atom

Cell lengths 5.137, 5.137, 5.137 Å; angles 90.00, 90.00, 90.00 degrees
Positions (direct):
Na: 0.000 0.000 0.000
Mg: 0.500 0.500 0.500
Se: 0.000 0.000 0.500
Se: 0.000 0.500 0.000
Se: 0.500 0.000 0.000

=====

This record from Alexandria describes a geometry-optimized NaMgSe3 structure. The functional is PBE-GGA.

Calculated values
Formation energy from raw total energies = -325 meV per atom
Space group = No. 221
DFT total energy = -2.998 eV per atom

Cell lengths 5.140, 5.140, 5.140 Å; angles 90.00, 90.00, 90.00 degrees
Positions (direct):
Na: 0.000 0.000 0.000
Mg: 0.500 0.500 0.500
Se: 0.000 0.500 0.500
Se: 0.500 0.000 0.500
Se: 0.500 0.500 0.000

=====

This record from Alexandria describes a geometry-optimized Na2MgSe structure. The functional is PBE-GGA.

Calculated values
Formation energy from raw total energies = -379 meV per atom
Space group = No. 225
DFT total energy = -2.309 eV per atom

Cell lengths 7.439, 7.439, 7.439 Å; angles 90.00, 90.00, 90.00 degrees
Positions (direct):
Na: 0.250 0.250 0.250
Na: 0.250 0.250 0.750
Na: 0.250 0.750 0.250
Na: 0.250 0.750 0.750
Na: 0.750 0.250 0.250
Na: 0.750 0.250 0.750
Na: 0.750 0.750 0.250
Na: 0.750 0.750 0.750
Mg: 0.000 0.000 0.000
Mg: 0.000 0.500 0.500
Mg: 0.500 0.000 0.500
Mg: 0.500 0.500 0.000
Se: 0.000 0.000 0.500
Se: 0.000 0.500 0.000
Se: 0.500 0.000 0.000
Se: 0.500 0.500 0.500

=====

This record from Alexandria describes a geometry-optimized Na3MgSe structure. The functional is PBE-GGA.

Calculated values
Formation energy from raw total energies = 251 meV per atom
Space group = No. 221
DFT total energy = -1.557 eV per atom

Cell lengths 5.631, 5.631, 5.631 Å; angles 90.00, 90.00, 90.00 degrees
Positions (direct):
Na: 0.000 0.000 0.500
Na: 0.000 0.500 0.000
Na: 0.500 0.000 0.000
Mg: 0.000 0.000 0.000
Se: 0.500 0.500 0.500

=====

This record from Alexandria describes a geometry-optimized NaMgSe structure. The functional is PBE-GGA.

Calculated values
Formation energy from raw total energies = -674 meV per atom
Space group = No. 129
DFT total energy = -2.807 eV per atom

Cell lengths 4.471, 4.471, 10.641 Å; angles 90.00, 90.00, 90.00 degrees
Positions (direct):
Na: 0.250 0.250 0.085
Na: 0.750 0.750 0.915
Mg: 0.250 0.750 0.500
Mg: 0.750 0.250 0.500
Se: 0.250 0.250 0.631
Se: 0.750 0.750 0.369

=====

This record from Alexandria describes a geometry-optimized Na2MgSe structure. The functional is PBE-GGA.

Calculated values
Formation energy from raw total energies = -229 meV per atom
Space group = No. 122
DFT total energy = -2.159 eV per atom

Cell lengths 7.175, 7.175, 15.282 Å; angles 90.00, 90.00, 90.00 degrees
Positions (direct):
Na: 0.094 0.250 0.125
Na: 0.250 0.594 0.375
Na: 0.250 0.906 0.875
Na: 0.406 0.250 0.625
Na: 0.594 0.750 0.625
Na: 0.750 0.094 0.875
Na: 0.750 0.406 0.375
Na: 0.906 0.750 0.125
Mg: 0.000 0.000 0.500
Mg: 0.000 0.500 0.750
Mg: 0.500 0.000 0.250
Mg: 0.500 0.500 0.000
Se: 0.000 0.000 0.000
Se: 0.000 0.500 0.250
Se: 0.500 0.000 0.750
Se: 0.500 0.500 0.500

=====

This record from Alexandria describes a geometry-optimized Na2Mg2Se3 structure. The functional is PBE-GGA.

Calculated values
Formation energy from raw total energies = -1201 meV per atom
Space group = No. 15
DFT total energy = -3.526 eV per atom

Cell lengths 10.590, 10.590, 7.385 Å; angles 110.13, 110.13, 82.44 degrees
Positions (direct):
Na: 0.072 0.928 0.750
Na: 0.221 0.779 0.250
Na: 0.320 0.488 0.365
Na: 0.488 0.320 0.865
Na: 0.512 0.680 0.135
Na: 0.680 0.512 0.635
Na: 0.779 0.221 0.750
Na: 0.928 0.072 0.250
Mg: 0.053 0.581 0.741
Mg: 0.133 0.285 0.797
Mg: 0.285 0.133 0.297
Mg: 0.419 0.947 0.759
Mg: 0.581 0.053 0.241
Mg: 0.715 0.867 0.703
Mg: 0.867 0.715 0.203
Mg: 0.947 0.419 0.259
Se: 0.066 0.215 0.060
Se: 0.086 0.643 0.448
Se: 0.215 0.066 0.560
Se: 0.273 0.499 0.957
Se: 0.357 0.914 0.052
Se: 0.499 0.273 0.457
Se: 0.501 0.727 0.543
Se: 0.643 0.086 0.948
Se: 0.727 0.501 0.043
Se: 0.785 0.934 0.440
Se: 0.914 0.357 0.552
Se: 0.934 0.785 0.940

=====

This record from Alexandria describes a geometry-optimized Na5Mg2Se5 structure. The functional is PBE-GGA.

Calculated values
Formation energy from raw total energies = -1028 meV per atom
Space group = No. 107
DFT total energy = -3.295 eV per atom

Cell lengths 7.692, 7.692, 7.692 Å; angles 100.77, 100.77, 128.78 degrees
Positions (direct):
Na: 0.000 0.000 0.000
Na: 0.383 0.383 0.594
Na: 0.383 0.789 0.000
Na: 0.789 0.383 0.000
Na: 0.789 0.789 0.406
Mg: 0.168 0.668 0.500
Mg: 0.668 0.168 0.500
Se: 0.213 0.915 0.298
Se: 0.458 0.458 0.000
Se: 0.617 0.915 0.702
Se: 0.915 0.213 0.298
Se: 0.915 0.617 0.702

=====

This record from Alexandria describes a geometry-optimized Na3MgSe2 structure. The functional is PBE-GGA.

Calculated values
Formation energy from raw total energies = -856 meV per atom
Space group = No. 72
DFT total energy = -2.943 eV per atom

Cell lengths 8.791, 8.791, 8.791 Å; angles 131.70, 68.16, 134.97 degrees
Positions (direct):
Na: 0.214 0.639 0.853
Na: 0.250 0.250 0.000
Na: 0.286 0.139 0.425
Na: 0.714 0.861 0.575
Na: 0.750 0.750 0.000
Na: 0.786 0.361 0.147
Mg: 0.250 0.750 0.500
Mg: 0.750 0.250 0.500
Se: 0.096 0.295 0.391
Se: 0.404 0.795 0.199
Se: 0.596 0.205 0.801
Se: 0.904 0.705 0.609